No. 1
Compound: HoTmZnHg
Source: Alexandria
Functional: PBE
Structure: relaxed

a = 5.124 Å, b = 5.124 Å, c = 5.124 Å
α = 60.00°, β = 60.00°, γ = 60.00°
Fractional coordinates of all 4 atoms:
Zn1 0.000 0.000 0.000
Hg1 0.500 0.500 0.500
Tm1 0.750 0.750 0.750
Ho1 0.250 0.250 0.250

Summary:
E_form: -399 meV per atom

***

No. 2
Compound: HoUHg
Source: Alexandria
Functional: PBE
Structure: relaxed

a = 4.758 Å, b = 3.204 Å, c = 9.663 Å
α = 80.46°, β = 90.00°, γ = 90.00°
Fractional coordinates of all 6 atoms:
Hg1 0.750 0.703 0.595
Hg2 0.250 0.297 0.405
Ho1 0.750 0.871 0.259
Ho2 0.250 0.129 0.741
U1 0.250 0.473 0.054
U2 0.750 0.527 0.946

Summary:
E_form: 8 meV per atom

***

No. 3
Compound: YHo7Hg2
Source: Alexandria
Functional: PBE
Structure: relaxed

a = 5.235 Å, b = 8.898 Å, c = 8.898 Å
α = 119.00°, β = 90.00°, γ = 90.00°
Fractional coordinates of all 10 atoms:
Ho1 0.000 0.766 0.234
Ho2 0.500 0.500 0.500
Ho3 0.500 0.697 0.938
Ho4 0.500 0.938 0.697
Ho5 0.500 0.303 0.062
Ho6 0.500 0.062 0.303
Ho7 0.000 0.234 0.766
Hg1 0.500 0.693 0.307
Hg2 0.500 0.307 0.693
Y1 0.000 0.000 0.000

Summary:
E_form: 285 meV per atom

***

No. 4
Compound: YHoHg
Source: Alexandria
Functional: PBE
Structure: relaxed

a = 3.616 Å, b = 3.616 Å, c = 6.911 Å
α = 105.16°, β = 105.16°, γ = 90.00°
Fractional coordinates of all 3 atoms:
Y1 0.321 0.321 0.642
Ho1 0.014 0.014 0.029
Hg1 0.665 0.665 0.330

Summary:
E_form: -313 meV per atom
ΔE to the lowest computed polymorph: 0.070 eV per atom

***

No. 5
Compound: YHo2Hg4
Source: Alexandria
Functional: PBE
Structure: relaxed

a = 5.082 Å, b = 5.082 Å, c = 9.134 Å
α = 73.85°, β = 73.85°, γ = 60.00°
Fractional coordinates of all 7 atoms:
Hg1 0.127 0.127 0.620
Hg2 0.873 0.873 0.380
Hg3 0.624 0.624 0.129
Hg4 0.376 0.376 0.871
Y1 0.000 0.000 0.000
Ho1 0.244 0.244 0.267
Ho2 0.756 0.756 0.733

Summary:
E_form: -340 meV per atom
ΔE to the lowest computed polymorph: 0.000 eV per atom

***

No. 6
Compound: Y6HoHg2
Source: Alexandria
Functional: PBE
Structure: relaxed

a = 3.712 Å, b = 6.600 Å, c = 11.709 Å
α = 75.43°, β = 80.88°, γ = 73.67°
Fractional coordinates of all 9 atoms:
Hg1 0.358 0.082 0.201
Hg2 0.642 0.918 0.799
Y1 0.312 0.790 0.587
Y2 0.313 0.499 0.876
Y3 0.018 0.300 0.663
Y4 0.688 0.210 0.413
Y5 0.982 0.700 0.337
Y6 0.687 0.501 0.124
Ho1 0.000 0.000 0.000

Summary:
E_form: -217 meV per atom

***

No. 7
Compound: Y2HoHg
Source: Alexandria
Functional: PBE
Structure: relaxed

a = 3.605 Å, b = 3.605 Å, c = 8.923 Å
α = 90.00°, β = 90.00°, γ = 90.00°
Fractional coordinates of all 4 atoms:
Ho1 0.500 0.500 0.500
Y1 0.000 0.000 0.777
Y2 0.000 0.000 0.223
Hg1 0.500 0.500 0.000

Summary:
E_form: -233 meV per atom
ΔE to the lowest computed polymorph: 0.000 eV per atom

***

No. 8
Compound: Y3HoHg6
Source: Alexandria
Functional: PBE
Structure: relaxed

a = 5.150 Å, b = 9.161 Å, c = 11.116 Å
α = 106.69°, β = 90.00°, γ = 90.00°
Fractional coordinates of all 20 atoms:
Hg1 0.250 0.653 0.700
Hg2 0.250 0.465 0.090
Hg3 0.250 0.141 0.197
Hg4 0.750 0.859 0.803
Hg5 0.250 0.841 0.313
Hg6 0.750 0.159 0.687
Hg7 0.750 0.535 0.910
Hg8 0.750 0.759 0.492
Hg9 0.750 0.937 0.106
Hg10 0.750 0.347 0.300
Hg11 0.250 0.241 0.508
Hg12 0.250 0.063 0.894
Y1 0.250 0.771 0.992
Y2 0.250 0.353 0.797
Y3 0.250 0.517 0.387
Y4 0.750 0.229 0.008
Y5 0.750 0.647 0.203
Y6 0.750 0.483 0.613
Ho1 0.250 0.939 0.608
Ho2 0.750 0.061 0.392

Summary:
E_form: -442 meV per atom

***

No. 9
Compound: Y3Ho4Hg4
Source: Alexandria
Functional: PBE
Structure: relaxed

a = 7.725 Å, b = 7.725 Å, c = 7.725 Å
α = 109.47°, β = 109.47°, γ = 109.47°
Fractional coordinates of all 11 atoms:
Y1 0.000 0.500 0.500
Y2 0.500 0.000 0.500
Y3 0.500 0.500 0.000
Ho1 0.000 0.286 0.000
Ho2 0.714 0.714 0.714
Ho3 0.286 0.000 0.000
Ho4 0.000 0.000 0.286
Hg1 0.000 0.642 0.000
Hg2 0.642 0.000 0.000
Hg3 0.358 0.358 0.358
Hg4 0.000 0.000 0.642

Summary:
E_form: 45 meV per atom

***

No. 10
Compound: YHoHg5
Source: Alexandria
Functional: PBE
Structure: relaxed

a = 5.114 Å, b = 5.113 Å, c = 7.045 Å
α = 90.00°, β = 90.00°, γ = 97.31°
Fractional coordinates of all 7 atoms:
Y1 0.000 0.000 0.000
Hg1 0.000 0.000 0.500
Hg2 0.500 0.000 0.766
Hg3 0.000 0.500 0.766
Hg4 0.500 0.000 0.234
Hg5 0.000 0.500 0.234
Ho1 0.500 0.500 0.500

Summary:
E_form: -249 meV per atom

***

No. 11
Compound: Y3HoHg
Source: Alexandria
Functional: PBE
Structure: relaxed

a = 7.138 Å, b = 7.138 Å, c = 8.397 Å
α = 64.85°, β = 64.85°, γ = 60.00°
Fractional coordinates of all 10 atoms:
Ho1 0.089 0.089 0.732
Ho2 0.911 0.911 0.268
Y1 0.606 0.103 0.684
Y2 0.394 0.897 0.316
Y3 0.394 0.394 0.316
Y4 0.897 0.394 0.316
Y5 0.606 0.606 0.684
Y6 0.103 0.606 0.684
Hg1 0.334 0.334 0.998
Hg2 0.666 0.666 0.002

Summary:
E_form: -22 meV per atom

***

No. 12
Compound: Y4HoHg2
Source: Alexandria
Functional: PBE
Structure: relaxed

a = 5.097 Å, b = 5.097 Å, c = 10.416 Å
α = 75.84°, β = 75.84°, γ = 60.00°
Fractional coordinates of all 7 atoms:
Hg1 0.399 0.399 0.802
Hg2 0.601 0.601 0.198
Y1 0.704 0.704 0.888
Y2 0.892 0.892 0.325
Y3 0.296 0.296 0.112
Y4 0.108 0.108 0.675
Ho1 0.500 0.500 0.500

Summary:
E_form: 8 meV per atom

***

No. 13
Compound: Y2HoHg2
Source: Alexandria
Functional: PBE
Structure: relaxed

a = 3.854 Å, b = 8.446 Å, c = 8.446 Å
α = 90.00°, β = 90.00°, γ = 90.00°
Fractional coordinates of all 10 atoms:
Hg1 0.000 0.133 0.367
Hg2 0.000 0.633 0.133
Hg3 0.000 0.367 0.867
Hg4 0.000 0.867 0.633
Ho1 0.000 0.000 0.000
Ho2 0.000 0.500 0.500
Y1 0.500 0.833 0.333
Y2 0.500 0.167 0.667
Y3 0.500 0.667 0.833
Y4 0.500 0.333 0.167

Summary:
E_form: -406 meV per atom
ΔE to the lowest computed polymorph: 0.000 eV per atom

***

No. 14
Compound: YHo8Hg2
Source: Alexandria
Functional: PBE
Structure: relaxed

a = 5.496 Å, b = 8.606 Å, c = 8.606 Å
α = 118.38°, β = 100.33°, γ = 100.33°
Fractional coordinates of all 11 atoms:
Ho1 0.106 0.091 0.321
Ho2 0.700 0.398 0.398
Ho3 0.894 0.679 0.909
Ho4 0.500 0.225 0.775
Ho5 0.500 0.775 0.225
Ho6 0.106 0.321 0.091
Ho7 0.300 0.602 0.602
Ho8 0.894 0.909 0.679
Hg1 0.000 0.693 0.307
Hg2 0.000 0.307 0.693
Y1 0.500 0.000 0.000

Summary:
E_form: -44 meV per atom

***

No. 15
Compound: YHo3Hg4
Source: Alexandria
Functional: PBE
Structure: relaxed

a = 5.226 Å, b = 7.489 Å, c = 10.454 Å
α = 90.00°, β = 90.00°, γ = 90.00°
Fractional coordinates of all 16 atoms:
Hg1 0.500 0.752 0.000
Hg2 0.500 0.752 0.500
Hg3 0.000 0.752 0.250
Hg4 0.000 0.248 0.750
Hg5 0.000 0.248 0.250
Hg6 0.000 0.752 0.750
Hg7 0.500 0.248 0.000
Hg8 0.500 0.248 0.500
Ho1 0.000 0.000 0.500
Ho2 0.500 0.500 0.750
Ho3 0.500 0.000 0.750
Ho4 0.500 0.500 0.250
Ho5 0.500 0.000 0.250
Ho6 0.000 0.000 0.000
Y1 0.000 0.500 0.500
Y2 0.000 0.500 0.000

Summary:
E_form: -489 meV per atom

***

No. 16
Compound: YHo5Hg2
Source: Alexandria
Functional: PBE
Structure: relaxed

a = 3.706 Å, b = 8.168 Å, c = 8.168 Å
α = 76.83°, β = 76.89°, γ = 76.89°
Fractional coordinates of all 8 atoms:
Hg1 0.264 0.236 0.236
Hg2 0.736 0.764 0.764
Ho1 0.363 0.861 0.412
Ho2 0.637 0.139 0.588
Ho3 0.363 0.412 0.861
Ho4 0.000 0.500 0.500
Ho5 0.637 0.588 0.139
Y1 0.000 0.000 0.000

Summary:
E_form: -165 meV per atom

***

No. 17
Compound: Y4HoHg
Source: Alexandria
Functional: PBE
Structure: relaxed

a = 6.362 Å, b = 8.976 Å, c = 8.248 Å
α = 113.27°, β = 100.10°, γ = 112.74°
Fractional coordinates of all 12 atoms:
Ho1 0.348 0.598 0.197
Ho2 0.652 0.402 0.803
Y1 0.759 0.712 0.623
Y2 0.364 0.911 0.623
Y3 0.042 0.172 0.777
Y4 0.958 0.828 0.223
Y5 0.241 0.288 0.377
Y6 0.765 0.395 0.223
Y7 0.235 0.605 0.777
Y8 0.636 0.089 0.377
Hg1 0.250 0.000 0.000
Hg2 0.750 0.000 0.000

Summary:
E_form: -56 meV per atom

***

No. 18
Compound: YHo5Hg3
Source: Alexandria
Functional: PBE
Structure: relaxed

a = 6.905 Å, b = 9.042 Å, c = 9.042 Å
α = 120.00°, β = 90.00°, γ = 90.00°
Fractional coordinates of all 18 atoms:
Ho1 0.750 0.666 0.666
Ho2 0.250 0.000 0.666
Ho3 0.500 0.333 0.667
Ho4 0.750 0.000 0.334
Ho5 0.250 0.666 0.000
Ho6 0.750 0.334 0.000
Ho7 0.500 0.667 0.333
Ho8 0.000 0.333 0.667
Ho9 0.000 0.667 0.333
Ho10 0.250 0.334 0.334
Hg1 0.750 0.333 0.333
Hg2 0.250 0.667 0.667
Hg3 0.750 0.667 0.000
Hg4 0.750 0.000 0.667
Hg5 0.250 0.000 0.333
Hg6 0.250 0.333 0.000
Y1 0.500 0.000 0.000
Y2 0.000 0.000 0.000

Summary:
E_form: -318 meV per atom

***

No. 19
Compound: Y3HoHg2
Source: Alexandria
Functional: PBE
Structure: relaxed

a = 5.129 Å, b = 7.037 Å, c = 9.253 Å
α = 90.00°, β = 90.00°, γ = 90.00°
Fractional coordinates of all 12 atoms:
Hg1 0.500 0.235 0.150
Hg2 0.000 0.765 0.350
Hg3 0.000 0.265 0.650
Hg4 0.500 0.735 0.850
Y1 0.000 0.985 0.054
Y2 0.000 0.485 0.946
Y3 0.000 0.329 0.327
Y4 0.000 0.829 0.673
Y5 0.500 0.171 0.825
Y6 0.500 0.671 0.175
Ho1 0.500 0.515 0.556
Ho2 0.500 0.015 0.444

Summary:
E_form: -383 meV per atom

***

No. 20
Compound: YHoHg4
Source: Alexandria
Functional: PBE
Structure: relaxed

a = 5.942 Å, b = 5.942 Å, c = 5.942 Å
α = 60.00°, β = 60.00°, γ = 60.00°
Fractional coordinates of all 6 atoms:
Y1 0.250 0.250 0.250
Hg1 0.625 0.125 0.625
Hg2 0.125 0.625 0.625
Hg3 0.625 0.625 0.125
Hg4 0.625 0.625 0.625
Ho1 0.000 0.000 0.000

Summary:
E_form: -195 meV per atom
ΔE to the lowest computed polymorph: 0.203 eV per atom

***

No. 21
Compound: YHoHg4
Source: Alexandria
Functional: PBE
Structure: relaxed

a = 3.906 Å, b = 5.197 Å, c = 7.563 Å
α = 90.00°, β = 75.02°, γ = 90.00°
Fractional coordinates of all 6 atoms:
Hg1 0.022 0.497 0.707
Hg2 0.816 0.997 0.120
Hg3 0.686 0.497 0.379
Hg4 0.482 0.997 0.786
Ho1 0.148 0.997 0.456
Y1 0.355 0.497 0.040

Summary:
E_form: -398 meV per atom
ΔE to the lowest computed polymorph: 0.000 eV per atom

***

No. 22
Compound: YHoHg
Source: Alexandria
Functional: PBE
Structure: relaxed

a = 4.757 Å, b = 4.757 Å, c = 7.622 Å
α = 90.00°, β = 90.00°, γ = 90.00°
Fractional coordinates of all 6 atoms:
Ho1 0.000 0.000 0.500
Ho2 0.500 0.500 0.500
Y1 0.500 0.000 0.138
Y2 0.000 0.500 0.862
Hg1 0.500 0.000 0.755
Hg2 0.000 0.500 0.245

Summary:
E_form: -287 meV per atom
ΔE to the lowest computed polymorph: 0.096 eV per atom

***

No. 23
Compound: Y8Ho2Hg
Source: Alexandria
Functional: PBE
Structure: relaxed

a = 5.559 Å, b = 6.399 Å, c = 10.078 Å
α = 95.03°, β = 106.01°, γ = 90.00°
Fractional coordinates of all 11 atoms:
Y1 0.659 0.126 0.319
Y2 0.422 0.396 0.845
Y3 0.341 0.874 0.681
Y4 0.578 0.604 0.155
Y5 0.844 0.201 0.688
Y6 0.044 0.264 0.088
Y7 0.956 0.736 0.912
Y8 0.156 0.799 0.312
Ho1 0.757 0.666 0.513
Ho2 0.243 0.334 0.487
Hg1 0.500 0.000 0.000

Summary:
E_form: -57 meV per atom